! MoPd2F, relaxed, DFT PBE+U; values from VASP
! Final energy: -4.7436 eV/atom
! Magnetization: 0.77 μB/atom
&SYSTEM
  ibrav = 0, nat = 8, ntyp = 3
/
ATOMIC_SPECIES
Mo 95.94 Mo.upf
Pd 106.42 Pd.upf
F 19.00 F.upf
CELL_PARAMETERS angstrom
-3.6685 3.6685 2.4452
3.6685 -3.6685 2.4452
3.6685 3.6685 -2.4452
ATOMIC_POSITIONS crystal
Mo 0.0000 0.0000 0.0000
Mo 0.7500 0.2500 0.5000
Pd 0.1654 0.1250 0.5404
Pd 0.3750 0.8346 0.9596
Pd 0.5846 0.6250 0.4596
Pd 0.8750 0.4154 0.0404
F 0.2500 0.7500 0.5000
F 0.5000 0.5000 0.0000